Entry 1:
# NiHSeBr2 GGA-PBE optimized geometry
data_NiHSeBr2
_chemical_formula_sum 'Ni1 H1 Se1 Br2'
_cell_length_a 5.093
_cell_length_b 5.093
_cell_length_c 4.510
_cell_angle_alpha 90.00
_cell_angle_beta 90.00
_cell_angle_gamma 90.00
_symmetry_space_group_name_H-M 'P 4/m m m'
_symmetry_Int_Tables_number 123
_symmetry_space_group_name_Hall '-P 4 2'
loop_
_atom_site_label
_atom_site_fract_x
_atom_site_fract_y
_atom_site_fract_z
_atom_site_occupancy
Ni1 0.000 0.000 0.000 1
H1 0.500 0.500 0.500 1
Se1 0.000 0.000 0.500 1
Br1 0.000 0.500 0.000 1
# - Energy relative to the lowest polymorph listed for this composition: 0.00 eV per formula unit



Entry 2:
# Tl4Se3Cl GGA-PBE optimized geometry
data_Tl4Se3Cl
_chemical_formula_sum 'Tl8 Se6 Cl2'
_cell_length_a 6.182
_cell_length_b 8.830
_cell_length_c 9.914
_cell_angle_alpha 90.00
_cell_angle_beta 90.00
_cell_angle_gamma 90.00
_symmetry_space_group_name_H-M 'P m m n'
_symmetry_Int_Tables_number 59
loop_
_symmetry_equiv_pos_as_xyz
'x,y,z'
'-x,-y,-z'
'-x+1/2,-y+1/2,z'
'x+1/2,y+1/2,-z'
'x+1/2,-y,-z'
'-x+1/2,y,z'
'-x,y+1/2,-z'
'x,-y+1/2,z'
loop_
_atom_site_label
_atom_site_fract_x
_atom_site_fract_y
_atom_site_fract_z
_atom_site_occupancy
Tl1 0.250 0.057 0.145 1
Tl2 0.250 0.250 0.703 1
Tl3 0.250 0.750 0.600 1
Se1 0.250 0.250 0.437 1
Se2 0.250 0.514 0.833 1
Cl1 0.250 0.750 0.267 1
# - Energy relative to the elements, uncorrected: -0.39 eV per atom



Entry 3:
# Mg2TcCl GGA-PBE optimized geometry
data_Mg2TcCl
_chemical_formula_sum 'Mg2 Tc1 Cl1'
_cell_length_a 3.060
_cell_length_b 3.060
_cell_length_c 7.803
_cell_angle_alpha 90.00
_cell_angle_beta 90.00
_cell_angle_gamma 90.00
_symmetry_space_group_name_H-M 'P 4/m m m'
_symmetry_Int_Tables_number 123
_symmetry_space_group_name_Hall '-P 4 2'
loop_
_atom_site_label
_atom_site_fract_x
_atom_site_fract_y
_atom_site_fract_z
_atom_site_occupancy
Mg1 0.000 0.000 0.235 1
Tc1 0.500 0.500 0.000 1
Cl1 0.500 0.500 0.500 1
# - Energy relative to the elements, uncorrected: -0.19 eV per atom
# - Energy relative to the lowest polymorph listed for this composition: 0.30 eV per formula unit



Entry 4:
# Rb2SiBr7 GGA-PBE optimized geometry
data_Rb2SiBr7
_chemical_formula_sum 'Rb4 Si2 Br14'
_cell_length_a 8.115
_cell_length_b 8.115
_cell_length_c 10.846
_cell_angle_alpha 90.00
_cell_angle_beta 90.00
_cell_angle_gamma 90.00
_symmetry_space_group_name_H-M 'I 4/m m m'
_symmetry_Int_Tables_number 139
_symmetry_space_group_name_Hall '-I 4 2'
loop_
_atom_site_label
_atom_site_fract_x
_atom_site_fract_y
_atom_site_fract_z
_atom_site_occupancy
Rb1 0.000 0.500 0.250 1
Si1 0.000 0.000 0.000 1
Br1 0.000 0.000 0.229 1
Br2 0.000 0.000 0.500 1
Br3 0.212 0.212 0.000 1
# - Energy relative to the elements, uncorrected: -0.91 eV per atom



Entry 5:
# TaSi2BPt GGA-PBE optimized geometry
data_TaSi2BPt
_chemical_formula_sum 'Ta1 Si2 B1 Pt1'
_cell_length_a 4.415
_cell_length_b 4.415
_cell_length_c 5.249
_cell_angle_alpha 90.00
_cell_angle_beta 90.00
_cell_angle_gamma 90.00
_symmetry_space_group_name_H-M 'P 4/m m m'
_symmetry_Int_Tables_number 123
_symmetry_space_group_name_Hall '-P 4 2'
loop_
_atom_site_label
_atom_site_fract_x
_atom_site_fract_y
_atom_site_fract_z
_atom_site_occupancy
Ta1 0.000 0.000 0.000 1
Si1 0.000 0.500 0.500 1
B1 0.500 0.500 0.000 1
Pt1 0.000 0.000 0.500 1
# - Energy relative to the elements, uncorrected: 1.50 eV per atom



Entry 6:
# TmHf2F11 GGA-PBE optimized geometry
data_TmHf2F11
_chemical_formula_sum 'Tm4 Hf8 F44'
_cell_length_a 7.722
_cell_length_b 9.857
_cell_length_c 10.567
_cell_angle_alpha 90.00
_cell_angle_beta 90.00
_cell_angle_gamma 90.00
_symmetry_space_group_name_H-M 'I b a m'
_symmetry_Int_Tables_number 72
_symmetry_space_group_name_Hall '-I 2 2c'
loop_
_atom_site_label
_atom_site_fract_x
_atom_site_fract_y
_atom_site_fract_z
_atom_site_occupancy
Tm1 0.000 0.000 0.250 1
Hf1 0.138 0.318 0.000 1
F1 0.000 0.500 0.000 1
F2 0.100 0.179 0.140 1
F3 0.128 0.283 0.500 1
F4 0.229 0.076 0.366 1
# - Energy relative to the elements, uncorrected: -3.93 eV per atom



Entry 7:
# Ba4NiBr GGA-PBE optimized geometry
data_Ba4NiBr
_chemical_formula_sum 'Ba8 Ni2 Br2'
_cell_length_a 15.289
_cell_length_b 4.513
_cell_length_c 8.669
_cell_angle_alpha 90.00
_cell_angle_beta 102.94
_cell_angle_gamma 90.00
_symmetry_space_group_name_H-M 'C 1 2/m 1'
_symmetry_Int_Tables_number 12
_symmetry_space_group_name_Hall '-C 2y'
loop_
_atom_site_label
_atom_site_fract_x
_atom_site_fract_y
_atom_site_fract_z
_atom_site_occupancy
Ba1 0.114 0.000 0.393 1
Ba2 0.128 0.500 0.837 1
Ni1 0.000 0.500 0.500 1
Br1 0.000 0.000 0.000 1
# - Energy relative to the elements, uncorrected: -0.49 eV per atom
# - Energy relative to the lowest polymorph listed for this composition: 0.00 eV per formula unit



Entry 8:
# Sm2Ho3Er6Pb GGA-PBE optimized geometry
data_Sm2Ho3Er6Pb
_chemical_formula_sum 'Sm4 Ho6 Er12 Pb2'
_cell_length_a 6.058
_cell_length_b 10.498
_cell_length_c 11.661
_cell_angle_alpha 90.00
_cell_angle_beta 100.02
_cell_angle_gamma 90.00
_symmetry_space_group_name_H-M 'C 1 2/m 1'
_symmetry_Int_Tables_number 12
_symmetry_space_group_name_Hall '-C 2y'
loop_
_atom_site_label
_atom_site_fract_x
_atom_site_fract_y
_atom_site_fract_z
_atom_site_occupancy
Sm1 0.000 0.166 0.000 1
Ho1 0.000 0.000 0.500 1
Ho2 0.000 0.333 0.500 1
Er1 0.245 0.500 0.749 1
Er2 0.247 0.336 0.250 1
Pb1 0.000 0.500 0.000 1
# - Formation energy from the elements: -0.06 eV/atom



Entry 9:
# LaZrCo2 GGA-PBE optimized geometry
data_LaZrCo2
_chemical_formula_sum 'La4 Zr4 Co8'
_cell_length_a 6.663
_cell_length_b 6.663
_cell_length_c 6.663
_cell_angle_alpha 90.00
_cell_angle_beta 90.00
_cell_angle_gamma 90.00
_symmetry_space_group_name_H-M 'F m -3 m'
_symmetry_Int_Tables_number 225
_symmetry_space_group_name_Hall '-F 4 2 3'
loop_
_atom_site_label
_atom_site_fract_x
_atom_site_fract_y
_atom_site_fract_z
_atom_site_occupancy
La1 0.000 0.000 0.000 1
Zr1 0.000 0.000 0.500 1
Co1 0.250 0.250 0.250 1
# - Formation energy from the elements: 0.02 eV/atom
# - Energy relative to the lowest polymorph listed for this composition: 0.54 eV per formula unit



Entry 10:
# Tl2NiI6 GGA-PBE optimized geometry
data_Tl2NiI6
_chemical_formula_sum 'Tl4 Ni2 I12'
_cell_length_a 12.944
_cell_length_b 7.785
_cell_length_c 8.229
_cell_angle_alpha 90.00
_cell_angle_beta 126.76
_cell_angle_gamma 90.00
_symmetry_space_group_name_H-M 'C 1 2/m 1'
_symmetry_Int_Tables_number 12
_symmetry_space_group_name_Hall '-C 2y'
loop_
_atom_site_label
_atom_site_fract_x
_atom_site_fract_y
_atom_site_fract_z
_atom_site_occupancy
Tl1 0.246 0.000 0.255 1
Ni1 0.000 0.500 0.000 1
I1 0.035 0.261 0.810 1
I2 0.249 0.500 0.299 1
# - Energy relative to the elements, uncorrected: -0.28 eV per atom



Entry 11:
# LiSi2Pt GGA-PBE optimized geometry
data_LiSi2Pt
_chemical_formula_sum 'Li4 Si8 Pt4'
_cell_length_a 7.474
_cell_length_b 7.474
_cell_length_c 4.852
_cell_angle_alpha 90.00
_cell_angle_beta 90.00
_cell_angle_gamma 90.00
_symmetry_space_group_name_H-M 'I -4 2 d'
_symmetry_Int_Tables_number 122
_symmetry_space_group_name_Hall 'I -4 2bw'
loop_
_atom_site_label
_atom_site_fract_x
_atom_site_fract_y
_atom_site_fract_z
_atom_site_occupancy
Li1 0.000 0.000 0.000 1
Si1 0.189 0.250 0.625 1
Pt1 0.000 0.000 0.500 1
# - Energy relative to the elements, uncorrected: -0.21 eV per atom
# - Energy relative to the lowest polymorph listed for this composition: 1.09 eV per formula unit



Entry 12:
# Na3U2PtSe6 GGA-PBE optimized geometry
data_Na3U2PtSe6
_chemical_formula_sum 'Na6 U4 Pt2 Se12'
_cell_length_a 6.872
_cell_length_b 12.090
_cell_length_c 7.472
_cell_angle_alpha 90.00
_cell_angle_beta 107.29
_cell_angle_gamma 90.00
_symmetry_space_group_name_H-M 'C 1 2/m 1'
_symmetry_Int_Tables_number 12
_symmetry_space_group_name_Hall '-C 2y'
loop_
_atom_site_label
_atom_site_fract_x
_atom_site_fract_y
_atom_site_fract_z
_atom_site_occupancy
Na1 0.000 0.000 0.000 1
Na2 0.000 0.337 0.000 1
U1 0.000 0.169 0.500 1
Pt1 0.000 0.500 0.500 1
Se1 0.242 0.500 0.285 1
Se2 0.247 0.333 0.735 1
# - Energy relative to the elements, uncorrected: -0.95 eV per atom